# AlRePt meta-GGA SCAN single point on PBEsol structure
# calculated formation energy	-0.717	eV/f.u.
# total energy	-1.835	Ha/atom
# symmetry	No. 187
data_AlRePt
_cell_length_a 2.689
_cell_length_b 4.313
_cell_length_c 4.313
_cell_angle_alpha 120.00
_cell_angle_beta 90.00
_cell_angle_gamma 90.00
_space_group_name_H-M_alt 'P 1'
_space_group_IT_number 1
loop_
_space_group_symop_operation_xyz
'x,y,z'
loop_
_atom_site_label
_atom_site_fract_x
_atom_site_fract_y
_atom_site_fract_z
Re1 0.500 0.667 0.333
Al1 0.000 0.000 0.000
Pt1 0.000 0.333 0.667